No. 1
Mg2SnGe PBE optimized geometry; energy of formation = -0.39 eV per formula unit
1.0
1.697 0.980 8.880
-1.697 0.980 8.880
0.000 -1.960 8.880
Mg Sn Ge
2 1 1
Direct
0.245 0.245 0.245
0.755 0.755 0.755
0.000 0.000 0.000
0.500 0.500 0.500

No. 2
KSr2P PBE optimized geometry; energy of formation = -2.51 eV per formula unit
1.0
3.880 -2.237 0.000
3.880 2.237 0.000
-2.508 0.000 11.330
K Sr P
1 2 1
Direct
0.000 0.000 0.000
0.211 0.211 0.638
0.789 0.789 0.362
0.500 0.500 0.500

No. 3
YAl4Pd8 PBE optimized geometry; energy of formation = -10.61 eV per formula unit
1.0
-4.410 4.410 2.678
4.410 -4.410 2.678
4.410 4.410 -2.678
Y Al Pd
1 4 8
Direct
0.000 0.000 0.000
0.000 0.000 0.500
0.000 0.500 0.000
0.500 0.000 0.000
0.500 0.500 0.500
0.000 0.336 0.336
0.000 0.664 0.664
0.278 0.500 0.778
0.336 0.000 0.336
0.500 0.278 0.778
0.500 0.722 0.222
0.664 0.000 0.664
0.722 0.500 0.222

No. 4
Sr4PBr5 PBE optimized geometry; formation energy without anion corrections = -19.1 eV/f.u.
1.0
9.715 -2.255 0.000
9.715 2.255 0.000
-2.471 0.000 8.448
Sr P Br
4 1 5
Direct
0.001 0.001 0.235
0.338 0.338 0.890
0.662 0.662 0.110
0.999 0.999 0.765
0.500 0.500 0.000
0.167 0.167 0.345
0.169 0.169 0.866
0.500 0.500 0.500
0.831 0.831 0.134
0.833 0.833 0.655

No. 5
PSeCl2F PBE optimized geometry; formation energy without anion corrections = 1.8 eV/f.u.; energy above the lowest structure with this stoichiometry = 0.00 kJ per mole of atoms
1.0
4.833 0.000 0.000
0.000 4.833 0.000
0.000 0.000 5.237
P Se Cl F
1 1 2 1
Direct
0.000 0.000 0.000
0.000 0.000 0.500
0.000 0.500 0.500
0.500 0.000 0.500
0.500 0.500 0.000

No. 6
BaAcPtRh PBE optimized geometry; energy of formation = -2.08 eV per formula unit; energy above the lowest structure with this stoichiometry = 13.20 kJ per mole of atoms
1.0
0.000 3.775 3.775
3.775 0.000 3.775
3.775 3.775 0.000
Ba Ac Pt Rh
1 1 1 1
Direct
0.000 0.000 0.000
0.500 0.500 0.500
0.750 0.750 0.750
0.250 0.250 0.250

Number 1: magnetization 0.00 μB per formula unit, uncorrected energy -3.0495 eV/atom, Fermi-level density of states 1.64 states/eV/cell. Number 2: magnetization 0.00 μB per formula unit, uncorrected energy -3.0945 eV/atom, Fermi-level density of states 2.20 states/eV/cell. Number 3: magnetization 0.00 μB per formula unit, uncorrected energy -5.6602 eV/atom, Fermi-level density of states 5.93 states/eV/cell. Number 4: magnetization 0.00 μB per formula unit, uncorrected energy -3.9635 eV/atom, Fermi-level density of states 0.00 states/eV/cell. Number 5: magnetization 1.34 μB per formula unit, uncorrected energy -2.5253 eV/atom, Fermi-level density of states 4.40 states/eV/cell. Number 6: magnetization 0.00 μB per formula unit, uncorrected energy -5.3769 eV/atom, Fermi-level density of states 2.85 states/eV/cell.